[1]
The following is a DFT calculation (PBE) of a relaxed structure of Dy.

a b c (Å): 3.5474 3.5474 11.4493
angles (deg): 90.00 90.00 120.00
With the nearest neighbours (Å) after each atom.
Sites, in units of the cell vectors:
Dy  0.0000  0.0000  0.0000  12 Dy 3.52-3.55
Dy  0.0000  0.0000  0.5000  12 Dy 3.52-3.55
Dy  0.3333  0.6667  0.2500  12 Dy 3.52-3.55
Dy  0.6667  0.3333  0.7500  12 Dy 3.52-3.55

Summary:
Symmetry ... P6_3/mmc
Theoretical density ... 8.65 g/cm3

[2]
The following is a DFT calculation (PBE) of a relaxed structure of Dy.

a b c (Å): 3.5307 3.5307 3.5307
angles (deg): 60.00 60.00 60.00
With the nearest neighbours (Å) after each atom.
Sites, in units of the cell vectors:
Dy  0.0000  0.0000  0.0000  12 Dy 3.53

Summary:
Symmetry ... Fm-3m
Theoretical density ... 8.67 g/cm3

[3]
The following is a DFT calculation (PBE) of a relaxed structure of Dy.

a b c (Å): 3.4468 3.4468 3.4468
angles (deg): 109.47 109.47 109.47
With the nearest neighbours (Å) after each atom.
Sites, in units of the cell vectors:
Dy  0.0000  0.0000  0.0000  8 Dy 3.45

Summary:
Symmetry ... Im-3m
Theoretical density ... 8.56 g/cm3

[4]
The following is a DFT calculation (PBE) of a relaxed structure of Dy.

a b c (Å): 3.5353 3.5353 8.6377
angles (deg): 90.00 90.00 120.00
With the nearest neighbours (Å) after each atom.
Sites, in units of the cell vectors:
Dy  0.0000  0.3374  0.1667  12 Dy 3.52-3.54
Dy  0.3374  0.0000  0.8333  12 Dy 3.52-3.54
Dy  0.6626  0.6626  0.5000  12 Dy 3.52-3.54

Summary:
Symmetry ... P3_121
Theoretical density ... 8.66 g/cm3

[5]
The following is a DFT calculation (PBE) of a relaxed structure of Dy.

a b c (Å): 10.6459 10.6459 10.6459
angles (deg): 109.47 109.47 109.47
With the nearest neighbours (Å) after each atom.
Sites, in units of the cell vectors:
Dy  0.0000  0.0000  0.0000  16 Dy 3.68-3.83
Dy  0.0000  0.0000  0.3455  10 Dy 3.40-3.68
Dy  0.0000  0.3111  0.5763  8 Dy 3.40-3.55
Dy  0.0000  0.3455  0.0000  10 Dy 3.40-3.68
Dy  0.0000  0.5763  0.3111  8 Dy 3.40-3.55
Dy  0.0000  0.6241  0.8111  8 Dy 3.25-3.55
Dy  0.0000  0.8111  0.6241  8 Dy 3.25-3.55
Dy  0.1870  0.3759  0.3759  8 Dy 3.25-3.55
Dy  0.1889  0.1889  0.8130  8 Dy 3.25-3.55
Dy  0.1889  0.8130  0.1889  8 Dy 3.25-3.55
Dy  0.2652  0.6889  0.6889  8 Dy 3.40-3.55
Dy  0.3111  0.0000  0.5763  8 Dy 3.40-3.55
Dy  0.3111  0.5763  0.0000  8 Dy 3.40-3.55
Dy  0.3455  0.0000  0.0000  10 Dy 3.40-3.68
Dy  0.3759  0.1870  0.3759  8 Dy 3.25-3.55
Dy  0.3759  0.3759  0.1870  8 Dy 3.25-3.55
Dy  0.4237  0.4237  0.7348  8 Dy 3.40-3.55
Dy  0.4237  0.7348  0.4237  8 Dy 3.40-3.55
Dy  0.5763  0.0000  0.3111  8 Dy 3.40-3.55
Dy  0.5763  0.3111  0.0000  8 Dy 3.40-3.55
Dy  0.6241  0.0000  0.8111  8 Dy 3.25-3.55
Dy  0.6241  0.8111  0.0000  8 Dy 3.25-3.55
Dy  0.6545  0.6545  0.6545  10 Dy 3.40-3.68
Dy  0.6889  0.2652  0.6889  8 Dy 3.40-3.55
Dy  0.6889  0.6889  0.2652  8 Dy 3.40-3.55
Dy  0.7348  0.4237  0.4237  8 Dy 3.40-3.55
Dy  0.8111  0.0000  0.6241  8 Dy 3.25-3.55
Dy  0.8111  0.6241  0.0000  8 Dy 3.25-3.55
Dy  0.8130  0.1889  0.1889  8 Dy 3.25-3.55

Summary:
Symmetry ... I-43m
Theoretical density ... 8.43 g/cm3

[6]
The following is a DFT calculation (PBE) of a relaxed structure of Dy.

a b c (Å): 3.4767 3.4767 3.4767
angles (deg): 61.36 61.36 61.36
With the nearest neighbours (Å) after each atom.
Sites, in units of the cell vectors:
Dy  0.0000  0.0000  0.0000  12 Dy 3.48-3.55

Summary:
Symmetry ... R-3m
Theoretical density ... 8.81 g/cm3

[7]
The following is a DFT calculation (PBE) of a relaxed structure of Dy.

a b c (Å): 5.4934 5.4934 5.4488
angles (deg): 90.00 90.00 120.00
With the nearest neighbours (Å) after each atom.
Sites, in units of the cell vectors:
Dy  0.0000  0.0000  0.2500  2 Dy 2.72
Dy  0.0000  0.0000  0.7500  2 Dy 2.72
Dy  0.3333  0.6667  0.2500  3 Dy 3.17
Dy  0.6667  0.3333  0.7500  3 Dy 3.17

Summary:
Symmetry ... P6_3/mmc
Theoretical density ... 7.58 g/cm3

[8]
The following is a DFT calculation (PBE) of a relaxed structure of Dy.

a b c (Å): 8.6127 8.6127 8.6127
angles (deg): 90.00 90.00 90.00
With the nearest neighbours (Å) after each atom.
Sites, in units of the cell vectors:
Dy  0.0446  0.1250  0.7946  12 Dy 3.44-3.68
Dy  0.0594  0.9406  0.4406  6 Dy 3.25-3.44
Dy  0.1250  0.7946  0.0446  12 Dy 3.44-3.68
Dy  0.1906  0.1906  0.1906  6 Dy 3.25-3.44
Dy  0.2054  0.5446  0.3750  12 Dy 3.44-3.68
Dy  0.2946  0.4554  0.8750  12 Dy 3.44-3.68
Dy  0.3094  0.8094  0.6906  6 Dy 3.25-3.44
Dy  0.3750  0.2054  0.5446  12 Dy 3.44-3.68
Dy  0.4406  0.0594  0.9406  6 Dy 3.25-3.44
Dy  0.4554  0.8750  0.2946  12 Dy 3.44-3.68
Dy  0.5446  0.3750  0.2054  12 Dy 3.44-3.68
Dy  0.5594  0.5594  0.5594  6 Dy 3.25-3.44
Dy  0.6250  0.7054  0.9554  12 Dy 3.44-3.68
Dy  0.6906  0.3094  0.8094  6 Dy 3.25-3.44
Dy  0.7054  0.9554  0.6250  12 Dy 3.44-3.68
Dy  0.7946  0.0446  0.1250  12 Dy 3.44-3.68
Dy  0.8094  0.6906  0.3094  6 Dy 3.25-3.44
Dy  0.8750  0.2946  0.4554  12 Dy 3.44-3.68
Dy  0.9406  0.4406  0.0594  6 Dy 3.25-3.44
Dy  0.9554  0.6250  0.7054  12 Dy 3.44-3.68

Summary:
Symmetry ... P4_132
Theoretical density ... 8.45 g/cm3

[9]
The following is a DFT calculation (PBE) of a relaxed structure of Dy.

a b c (Å): 6.7872 6.7872 3.6375
angles (deg): 90.00 90.00 130.11
With the nearest neighbours (Å) after each atom.
Sites, in units of the cell vectors:
Dy  0.1376  0.8624  0.9928  9 Dy 3.31-3.64
Dy  0.3624  0.6376  0.4928  9 Dy 3.31-3.64
Dy  0.6376  0.3624  0.5072  9 Dy 3.31-3.64
Dy  0.8624  0.1376  0.0072  9 Dy 3.31-3.64

Summary:
Symmetry ... Cmce
Theoretical density ... 8.42 g/cm3

[10]
The following is a DFT calculation (PBE) of a relaxed structure of Dy2Er.

a b c (Å): 9.8661 9.8661 9.8661
angles (deg): 60.00 60.00 60.00
With the nearest neighbours (Å) after each atom.
Sites, in units of the cell vectors:
Dy  0.0000  0.0000  0.0000  2 Er 3.02
Dy  0.0000  0.0000  0.5000  2 Er 3.02
Dy  0.0000  0.5000  0.0000  2 Er 3.02
Dy  0.5000  0.0000  0.0000  2 Er 3.02
Er  0.1250  0.1250  0.1250  4 Dy 3.02
Er  0.8750  0.8750  0.8750  4 Dy 3.02

Summary:
Symmetry ... Fd-3m
Theoretical density ... 2.41 g/cm3

[11]
The following is a DFT calculation (PBE) of a relaxed structure of Dy3Er5.

a b c (Å): 7.1672 7.1672 5.5660
angles (deg): 90.00 90.00 120.00
With the nearest neighbours (Å) after each atom.
Sites, in units of the cell vectors:
Dy  0.0002  0.5001  0.0000  8 Er 3.47-3.58, 4 Dy 3.58-3.59
Dy  0.4999  0.9998  0.0000  8 Er 3.47-3.58, 4 Dy 3.58-3.59
Dy  0.4999  0.5001  0.0000  8 Er 3.47-3.58, 4 Dy 3.58-3.59
Er  0.0000  0.0000  0.0000  6 Er 3.47, 6 Dy 3.58
Er  0.3333  0.6667  0.5000  6 Dy 3.47, 6 Er 3.58
Er  0.3336  0.1668  0.5000  4 Dy 3.47, 8 Er 3.47-3.59
Er  0.8332  0.1668  0.5000  4 Dy 3.47, 8 Er 3.47-3.59
Er  0.8332  0.6664  0.5000  4 Dy 3.47, 8 Er 3.47-3.59

Summary:
Symmetry ... P-6m2
Theoretical density ... 8.88 g/cm3

[12]
The following is a DFT calculation (PBE) of a relaxed structure of Dy3Er.

a b c (Å): 7.1932 7.1932 5.6043
angles (deg): 90.00 90.00 120.00
With the nearest neighbours (Å) after each atom.
Sites, in units of the cell vectors:
Dy  0.1669  0.3337  0.2500  4 Er 3.49-3.60, 8 Dy 3.49-3.60
Dy  0.1669  0.8331  0.2500  4 Er 3.49-3.60, 8 Dy 3.49-3.60
Dy  0.3337  0.1669  0.7500  4 Er 3.49-3.60, 8 Dy 3.49-3.60
Dy  0.6663  0.8331  0.2500  4 Er 3.49-3.60, 8 Dy 3.49-3.60
Dy  0.8331  0.1669  0.7500  4 Er 3.49-3.60, 8 Dy 3.49-3.60
Dy  0.8331  0.6663  0.7500  4 Er 3.49-3.60, 8 Dy 3.49-3.60
Er  0.3333  0.6667  0.7500  12 Dy 3.49-3.60
Er  0.6667  0.3333  0.2500  12 Dy 3.49-3.60

Summary:
Symmetry ... P6_3/mmc
Theoretical density ... 8.66 g/cm3

Total energy in eV/atom, matching the order above: -4.5992 -4.5848 -4.4569 -4.5850 -4.3995 -4.5781 -3.7097 -4.4161 -4.4044 -2.0377 -4.5743 -4.5859
Energy of formation from the pure elements in eV per formula unit, matching the order above: 0.00 0.02 0.14 0.02 0.20 0.02 0.89 0.19 0.20 7.65 0.03 0.02